[1]
First-principles (PBE-GGA) data for a relaxed HfBe2Os2 crystal, as listed in the Open Quantum Materials Database.

Lattice parameters (Å, degrees): 6.479 6.479 3.038 90.00 90.00 90.00
Space group P4/mbm (No. 127)
Asymmetric unit:
Hf 0.000 0.000 0.000 [2 per cell]
Be 0.118 0.382 0.000 [4 per cell]
Os 0.165 0.665 0.500 [4 per cell]

calculated density: 15.03 g cm⁻³
electronic total energy: -83.7 eV per cell


[2]
First-principles (PBE-GGA) data for a relaxed Zr2Zn crystal, as listed in the Open Quantum Materials Database.

Lattice parameters (Å, degrees): 8.569 4.932 11.996 90.00 103.22 90.00
Space group P2_1/m (No. 11)
Asymmetric unit:
Zr 0.043 0.250 0.322 [2 per cell]
Zr 0.075 0.250 0.082 [2 per cell]
Zr 0.086 0.250 0.833 [2 per cell]
Zr 0.093 0.250 0.576 [2 per cell]
Zr 0.249 0.750 0.354 [2 per cell]
Zr 0.265 0.750 0.075 [2 per cell]
Zr 0.414 0.250 0.504 [2 per cell]
Zr 0.424 0.250 0.006 [2 per cell]
Zn 0.278 0.750 0.829 [2 per cell]
Zn 0.285 0.750 0.600 [2 per cell]
Zn 0.384 0.250 0.253 [2 per cell]
Zn 0.423 0.250 0.753 [2 per cell]

calculated density: 6.67 g cm⁻³
electronic total energy: -146.4 eV per cell


[3]
First-principles (PBE-GGA) data for a relaxed FeTcBOs crystal, as listed in the Open Quantum Materials Database.

Lattice parameters (Å, degrees): 5.785 5.785 5.785 90.00 90.00 90.00
Space group F-43m (No. 216)
Asymmetric unit:
Fe 0.000 0.000 0.000 [4 per cell]
Tc 0.000 0.000 0.500 [4 per cell]
B 0.250 0.250 0.750 [4 per cell]
Os 0.250 0.250 0.250 [4 per cell]

calculated density: 12.18 g cm⁻³
E above lowest polymorph: 0.00 eV/f.u.


[4]
First-principles (PBE-GGA) data for a relaxed ZrCuAgSn crystal, as listed in the Open Quantum Materials Database.

Lattice parameters (Å, degrees): 6.682 6.682 6.682 90.00 90.00 90.00
Space group F-43m (No. 216)
Asymmetric unit:
Zr 0.000 0.000 0.000 [4 per cell]
Cu 0.250 0.250 0.750 [4 per cell]
Ag 0.250 0.250 0.250 [4 per cell]
Sn 0.000 0.000 0.500 [4 per cell]

calculated density: 8.49 g cm⁻³
E above lowest polymorph: 0.00 eV/f.u.